No. 1
Entry from the Alexandria database: crystalline Tb2AlGe4Pd3 at its relaxed geometry (PBE-GGA).

- E: -5.449 eV/atom
- Crystal system: tetragonal
- Magnetic moment: 0.00 μB/atom
- SG: P-4m2
- Density: 8.50 g cm⁻³
- Calculated formation energy: -717.8 kJ/mol of formula units
- N(E_F): 3.54 states/eV per cell

a = 4.0468 Å, b = 4.0468 Å, c = 11.3839 Å
α = 90.00°, β = 90.00°, γ = 90.00°
Closest atoms and distances in Å follow each position.
Atoms (fractional coordinates):
Tb (0.0000, 0.5000, 0.2457)  4 Ge 3.09, 6 Pd 3.13-3.45, 2 Al 3.45
Tb (0.5000, 0.0000, 0.7543)  4 Ge 3.09, 6 Pd 3.13-3.45, 2 Al 3.45
Al (0.5000, 0.5000, 0.0000)  4 Ge 2.60, 4 Pd 2.86
Ge (0.0000, 0.0000, 0.5000)  4 Pd 2.59, 4 Ge 2.86
Ge (0.0000, 0.5000, 0.8569)  3 Pd 2.45-2.60, 2 Al 2.60
Ge (0.5000, 0.0000, 0.1431)  3 Pd 2.45-2.60, 2 Al 2.60
Ge (0.5000, 0.5000, 0.5000)  4 Pd 2.59, 4 Ge 2.86
Pd (0.0000, 0.0000, 0.0000)  4 Ge 2.60, 4 Al 2.86
Pd (0.0000, 0.5000, 0.6418)  5 Ge 2.45-2.59
Pd (0.5000, 0.0000, 0.3582)  5 Ge 2.45-2.59

---

No. 2
Entry from the Alexandria database: crystalline La4AgC at its relaxed geometry (PBE-GGA).

- E: -5.379 eV/atom
- Energy relative to the lowest polymorph listed for this composition: 0.0000 eV per atom
- Crystal system: monoclinic
- Magnetic moment: 0.00 μB/atom
- SG: C2/c
- Density: 6.61 g cm⁻³
- Calculated formation energy: -47.1 kJ/mol of formula units
- N(E_F): 13.13 states/eV per cell

a = 8.2620 Å, b = 8.2620 Å, c = 7.2352 Å
α = 105.15°, β = 105.15°, γ = 45.75°
Closest atoms and distances in Å follow each position.
Atoms (fractional coordinates):
La (0.0013, 0.8079, 0.5352)  1 C 2.50
La (0.1921, 0.9987, 0.9648)  1 C 2.50
La (0.2414, 0.3844, 0.8408)  2 C 2.64-2.67
La (0.3844, 0.2414, 0.3408)  2 C 2.64-2.67
La (0.6156, 0.7586, 0.6592)  2 C 2.64-2.67
La (0.7586, 0.6156, 0.1592)  2 C 2.64-2.67
La (0.8079, 0.0013, 0.0352)  1 C 2.50
La (0.9987, 0.1921, 0.4648)  1 C 2.50
Ag (0.3859, 0.6141, 0.2500)  8 La 3.32-3.59
Ag (0.6141, 0.3859, 0.7500)  8 La 3.32-3.59
C (0.0000, 0.5000, 0.5000)  6 La 2.50-2.67
C (0.5000, 0.0000, 0.0000)  6 La 2.50-2.67

---

No. 3
Entry from the Alexandria database: crystalline Ca2AlPt3 at its relaxed geometry (PBE-GGA).

- E: -4.973 eV/atom
- Energy relative to the lowest polymorph listed for this composition: 0.3818 eV per atom
- Crystal system: orthorhombic
- Magnetic moment: 0.00 μB/atom
- SG: Immm
- Density: 8.80 g cm⁻³
- Calculated formation energy: -383.3 kJ/mol of formula units
- N(E_F): 2.92 states/eV per cell

a = 6.7370 Å, b = 6.7370 Å, c = 6.7370 Å
α = 144.27°, β = 132.31°, γ = 60.99°
Closest atoms and distances in Å follow each position.
Atoms (fractional coordinates):
Ca (0.1823, 0.1823, 0.0000)  6 Pt 2.81-3.08
Ca (0.8177, 0.8177, 0.0000)  6 Pt 2.81-3.08
Al (0.5000, 0.5000, 0.0000)  6 Pt 2.50-2.72
Pt (0.0000, 0.5000, 0.5000)  2 Al 2.72, 4 Ca 2.96
Pt (0.3789, 0.8789, 0.5000)  2 Al 2.50
Pt (0.6211, 0.1211, 0.5000)  2 Al 2.50

---

No. 4
Entry from the Alexandria database: crystalline Fe5Ni3Pd3 at its relaxed geometry (PBE-GGA).

- E: -6.430 eV/atom
- Crystal system: hexagonal
- Magnetic moment: 1.61 μB/atom
- SG: P-62m
- Density: 8.26 g cm⁻³
- Calculated formation energy: 435.0 kJ/mol of formula units
- N(E_F): 13.53 states/eV per cell

a = 8.3453 Å, b = 8.3453 Å, c = 2.5826 Å
α = 90.00°, β = 90.00°, γ = 120.00°
Closest atoms and distances in Å follow each position.
Atoms (fractional coordinates):
Fe (0.0000, 0.6761, 0.0000)  2 Ni 2.34, 2 Pd 2.54, 2 Fe 2.58
Fe (0.3239, 0.3239, 0.0000)  2 Ni 2.34, 2 Pd 2.54, 2 Fe 2.58
Fe (0.3333, 0.6667, 0.0000)  5 Fe 2.58-2.82, 6 Pd 2.82
Fe (0.6667, 0.3333, 0.0000)  5 Fe 2.58-2.82, 6 Pd 2.82
Fe (0.6761, 0.0000, 0.0000)  2 Ni 2.34, 2 Pd 2.54, 2 Fe 2.58
Ni (0.0000, 0.1595, 0.0000)  4 Ni 2.31-2.58, 2 Fe 2.34, 2 Pd 2.49
Ni (0.1595, 0.0000, 0.0000)  4 Ni 2.31-2.58, 2 Fe 2.34, 2 Pd 2.49
Ni (0.8405, 0.8405, 0.0000)  4 Ni 2.31-2.58, 2 Fe 2.34, 2 Pd 2.49
Pd (0.0000, 0.4146, 0.5000)  2 Ni 2.49, 2 Fe 2.54, 2 Pd 2.58
Pd (0.4146, 0.0000, 0.5000)  2 Ni 2.49, 2 Fe 2.54, 2 Pd 2.58
Pd (0.5854, 0.5854, 0.5000)  2 Ni 2.49, 2 Fe 2.54, 2 Pd 2.58

---

No. 5
Entry from the Alexandria database: crystalline Tb2Ni4As3Ir at its relaxed geometry (PBE-GGA).

- E: -6.192 eV/atom
- Crystal system: tetragonal
- Magnetic moment: 0.00 μB/atom
- SG: P-4m2
- Density: 10.00 g cm⁻³
- Calculated formation energy: -648.5 kJ/mol of formula units
- N(E_F): 8.61 states/eV per cell

a = 3.9971 Å, b = 3.9971 Å, c = 10.0783 Å
α = 90.00°, β = 90.00°, γ = 90.00°
Closest atoms and distances in Å follow each position.
Atoms (fractional coordinates):
Tb (0.0000, 0.5000, 0.2481)  8 Ni 3.03-3.20, 6 As 3.07-3.23, 2 Ir 3.23
Tb (0.5000, 0.0000, 0.7519)  8 Ni 3.03-3.20, 6 As 3.07-3.23, 2 Ir 3.23
Ni (0.0000, 0.0000, 0.0000)  4 As 2.38
Ni (0.0000, 0.5000, 0.6434)  3 As 2.29-2.47, 2 Ir 2.47
Ni (0.5000, 0.0000, 0.3566)  3 As 2.29-2.47, 2 Ir 2.47
Ni (0.5000, 0.5000, 0.0000)  4 As 2.38
As (0.0000, 0.5000, 0.8711)  5 Ni 2.29-2.38
As (0.5000, 0.0000, 0.1289)  5 Ni 2.29-2.38
As (0.5000, 0.5000, 0.5000)  4 Ni 2.47
Ir (0.0000, 0.0000, 0.5000)  4 Ni 2.47

---

No. 6
Entry from the Alexandria database: crystalline ZrTaSb2 at its relaxed geometry (PBE-GGA).

- E: -7.230 eV/atom
- Energy relative to the lowest polymorph listed for this composition: 0.2193 eV per atom
- Crystal system: orthorhombic
- Magnetic moment: 0.00 μB/atom
- SG: Imm2
- Density: 9.85 g cm⁻³
- N(E_F): 2.66 states/eV per cell

a = 5.7337 Å, b = 5.7337 Å, c = 5.7337 Å
α = 142.50°, β = 129.88°, γ = 64.24°
Closest atoms and distances in Å follow each position.
Atoms (fractional coordinates):
Zr (0.0000, 0.0000, 0.0000)  6 Sb 2.99-3.05, 2 Ta 3.09
Ta (0.7448, 0.2448, 0.5000)  6 Sb 2.86-3.05, 2 Zr 3.09
Sb (0.2421, 0.7421, 0.5000)  2 Zr 2.99, 4 Ta 3.05, 4 Sb 3.25-3.26
Sb (0.5195, 0.5195, 0.0000)  2 Ta 2.86, 4 Zr 3.05

---

No. 7
Entry from the Alexandria database: crystalline Na3Dy2PuS6 at its relaxed geometry (PBE-GGA).

- E: -6.084 eV/atom
- Crystal system: monoclinic
- Magnetic moment: 0.42 μB/atom
- SG: C2/m
- Density: 4.95 g cm⁻³
- N(E_F): 11.75 states/eV per cell

a = 6.9538 Å, b = 6.9538 Å, c = 7.0493 Å
α = 99.46°, β = 99.46°, γ = 120.00°
Closest atoms and distances in Å follow each position.
Atoms (fractional coordinates):
Na (0.0000, 0.0000, 0.0000)  6 S 2.93-2.95
Na (0.3331, 0.6669, 0.0000)  6 S 2.93-2.96
Na (0.6669, 0.3331, 0.0000)  6 S 2.93-2.96
Dy (0.1666, 0.8334, 0.5000)  6 S 2.76
Dy (0.8334, 0.1666, 0.5000)  6 S 2.76
Pu (0.5000, 0.5000, 0.5000)  6 S 2.79
S (0.0877, 0.4243, 0.2731)  2 Dy 2.76, 1 Pu 2.79, 3 Na 2.93-2.96
S (0.2390, 0.2390, 0.7271)  2 Dy 2.76, 1 Pu 2.79, 3 Na 2.93-2.96
S (0.4243, 0.0877, 0.2731)  2 Dy 2.76, 1 Pu 2.79, 3 Na 2.93-2.96
S (0.5757, 0.9123, 0.7269)  2 Dy 2.76, 1 Pu 2.79, 3 Na 2.93-2.96
S (0.7610, 0.7610, 0.2729)  2 Dy 2.76, 1 Pu 2.79, 3 Na 2.93-2.96
S (0.9123, 0.5757, 0.7269)  2 Dy 2.76, 1 Pu 2.79, 3 Na 2.93-2.96

---

No. 8
Entry from the Alexandria database: crystalline Sr3CdBi3 at its relaxed geometry (PBE-GGA).

- E: -3.193 eV/atom
- Energy relative to the lowest polymorph listed for this composition: 0.0000 eV per atom
- Crystal system: orthorhombic
- Magnetic moment: 0.00 μB/atom
- SG: Cmce
- Density: 6.24 g cm⁻³
- Calculated formation energy: -458.1 kJ/mol of formula units
- N(E_F): 17.85 states/eV per cell

a = 11.1781 Å, b = 11.1781 Å, c = 14.0976 Å
α = 90.00°, β = 90.00°, γ = 37.28°
Closest atoms and distances in Å follow each position.
Atoms (fractional coordinates):
Sr (0.0389, 0.6135, 0.1285)  1 Cd 3.32, 6 Bi 3.43-3.71
Sr (0.1135, 0.5389, 0.6285)  1 Cd 3.32, 6 Bi 3.43-3.71
Sr (0.2062, 0.7938, 0.8595)  6 Bi 3.39-3.79, 2 Cd 3.41
Sr (0.2938, 0.7062, 0.3595)  6 Bi 3.39-3.79, 2 Cd 3.41
Sr (0.3865, 0.9611, 0.1285)  1 Cd 3.32, 6 Bi 3.43-3.71
Sr (0.4611, 0.8865, 0.6285)  1 Cd 3.32, 6 Bi 3.43-3.71
Sr (0.5389, 0.1135, 0.3715)  1 Cd 3.32, 6 Bi 3.43-3.71
Sr (0.6135, 0.0389, 0.8715)  1 Cd 3.32, 6 Bi 3.43-3.71
Sr (0.7062, 0.2938, 0.6405)  6 Bi 3.39-3.79, 2 Cd 3.41
Sr (0.7938, 0.2062, 0.1405)  6 Bi 3.39-3.79, 2 Cd 3.41
Sr (0.8865, 0.4611, 0.3715)  1 Cd 3.32, 6 Bi 3.43-3.71
Sr (0.9611, 0.3865, 0.8715)  1 Cd 3.32, 6 Bi 3.43-3.71
Cd (0.0854, 0.0854, 0.5000)  4 Bi 2.95-2.98
Cd (0.4146, 0.4146, 0.0000)  4 Bi 2.95-2.98
Cd (0.5854, 0.5854, 0.0000)  4 Bi 2.95-2.98
Cd (0.9146, 0.9146, 0.5000)  4 Bi 2.95-2.98
Bi (0.0665, 0.6048, 0.3736)  1 Cd 2.95
Bi (0.1048, 0.5665, 0.8736)  1 Cd 2.95
Bi (0.2342, 0.7658, 0.6187)  2 Cd 2.98
Bi (0.2658, 0.7342, 0.1187)  2 Cd 2.98
Bi (0.3952, 0.9335, 0.3736)  1 Cd 2.95
Bi (0.4335, 0.8952, 0.8736)  1 Cd 2.95
Bi (0.5665, 0.1048, 0.1264)  1 Cd 2.95
Bi (0.6048, 0.0665, 0.6264)  1 Cd 2.95
Bi (0.7342, 0.2658, 0.8813)  2 Cd 2.98
Bi (0.7658, 0.2342, 0.3813)  2 Cd 2.98
Bi (0.8952, 0.4335, 0.1264)  1 Cd 2.95
Bi (0.9335, 0.3952, 0.6264)  1 Cd 2.95